Compound: YTmMnRh
Source: Alexandria via LeMat-Bulk
Functional: PBE-GGA
Structure: relaxed

Structure (POSCAR):
```
YTmMnRh
1.0
4.895 0.000 0.000
2.447 4.239 0.000
2.447 1.413 3.996
Y Rh Tm Mn
1 1 1 1
direct
0.500 0.500 0.500
0.750 0.750 0.750
0.000 0.000 0.000
0.250 0.250 0.250
```

- SG: F-43m, No. 216
- Total DFT energy (no corrections): -7.156 eV per atom

Compound: ErTm4Hg
Source: Alexandria via LeMat-Bulk
Functional: PBE-GGA
Structure: relaxed

Structure (POSCAR):
```
ErTm4Hg
1.0
-1.378 -1.496 -2.864
3.015 0.525 -1.724
4.593 -12.387 4.259
Tm Er Hg
4 1 1
direct
0.000 0.000 0.355
0.500 0.500 0.177
0.000 0.000 0.645
0.500 0.500 0.823
0.000 0.000 0.000
0.500 0.500 0.500
```

- SG: P4/mmm, No. 123
- Excess energy over the best structure of this formula in the dataset: 0.0000 eV per atom

Compound: Pt3C5
Source: Alexandria via LeMat-Bulk
Functional: PBE-GGA
Structure: relaxed

Structure (POSCAR):
```
Pt3C5
1.0
1.957 -5.194 0.000
1.957 5.194 0.000
0.000 0.000 4.472
Pt C
3 5
direct
0.841 0.159 0.500
0.159 0.841 0.500
0.500 0.500 0.000
0.327 0.327 0.500
0.673 0.673 0.500
0.000 0.500 0.000
0.000 0.000 0.000
0.500 0.000 0.000
```

- SG: Cmmm, No. 65
- Excess energy over the best structure of this formula in the dataset: 0.7004 eV per atom

Compound: PaZnTe2
Source: Alexandria via LeMat-Bulk
Functional: PBE-GGA
Structure: relaxed

Structure (POSCAR):
```
PaZnTe2
1.0
-2.275 2.738 -2.314
-4.238 -0.254 -0.030
-2.600 7.056 7.012
Pa Zn Te
1 1 2
direct
0.500 0.500 0.500
0.000 0.000 0.000
0.105 0.105 0.686
0.895 0.895 0.314
```

- SG: R-3m, No. 166
- Excess energy over the best structure of this formula in the dataset: 0.0165 eV per atom
- Formation energy from raw total energies: -0.340 eV/atom

Compound: LaY2Tl9
Source: Alexandria via LeMat-Bulk
Functional: PBE-GGA
Structure: relaxed

Structure (POSCAR):
```
LaY2Tl9
1.0
-1.268 -3.451 -3.111
3.137 1.743 -3.212
10.259 -8.598 5.354
Tl Y La
9 2 1
direct
0.500 0.000 0.172
0.500 0.500 0.335
0.000 0.500 0.500
0.000 0.500 0.172
0.500 0.500 0.000
0.500 0.000 0.828
0.000 0.500 0.828
0.500 0.500 0.665
0.500 0.000 0.500
0.000 0.000 0.663
0.000 0.000 0.337
0.000 0.000 0.000
```

- SG: P4/mmm, No. 123
- Total DFT energy (no corrections): -3.550 eV per atom

Compound: Mg6CuAg
Source: Alexandria via LeMat-Bulk
Functional: PBE-GGA
Structure: relaxed

Structure (POSCAR):
```
Mg6CuAg
1.0
4.504 0.000 1.356
-0.409 4.485 1.357
0.074 0.080 7.911
Mg Ag Cu
6 1 1
direct
0.249 0.249 0.502
0.751 0.751 0.498
0.393 0.893 0.215
0.107 0.607 0.785
0.607 0.107 0.785
0.893 0.393 0.215
0.500 0.500 0.000
0.000 0.000 0.000
```

- SG: I4/mmm, No. 139
- Excess energy over the best structure of this formula in the dataset: 0.0000 eV per atom

Compound: Li3Th2BeNi12
Source: Alexandria via LeMat-Bulk
Functional: PBE-GGA
Structure: relaxed

Structure (POSCAR):
```
Li3Th2BeNi12
1.0
-2.944 -7.821 2.420
2.743 -7.004 4.371
-1.874 -4.363 7.289
Ni Be Th Li
12 1 2 3
direct
0.423 0.423 0.814
0.342 0.926 0.926
0.658 0.074 0.074
0.423 0.814 0.423
0.074 0.658 0.074
0.186 0.577 0.577
0.577 0.577 0.186
0.926 0.342 0.926
0.814 0.423 0.423
0.577 0.186 0.577
0.926 0.926 0.342
0.074 0.074 0.658
0.000 0.000 0.000
0.346 0.346 0.346
0.654 0.654 0.654
0.500 0.000 0.000
0.000 0.000 0.500
0.000 0.500 0.000
```

- SG: R-3m, No. 166
- Total DFT energy (no corrections): -5.152 eV per atom

Compound: Pm2TmNi
Source: Alexandria via LeMat-Bulk
Functional: PBE-GGA
Structure: relaxed

Structure (POSCAR):
```
Pm2TmNi
1.0
3.549 0.000 0.000
0.000 3.549 0.000
0.000 0.000 8.541
Tm Ni Pm
1 1 2
direct
0.500 0.500 0.500
0.500 0.500 0.000
0.000 0.000 0.194
0.000 0.000 0.806
```

- SG: P4/mmm, No. 123
- Excess energy over the best structure of this formula in the dataset: 0.1327 eV per atom

Compound: ZrMnCu2
Source: Alexandria via LeMat-Bulk
Functional: PBE-GGA
Structure: relaxed

Structure (POSCAR):
```
ZrMnCu2
1.0
4.120 0.000 0.000
0.000 2.874 0.211
0.000 1.063 5.300
Zr Cu Mn
1 2 1
direct
0.500 0.797 0.783
0.000 0.183 0.009
0.500 0.053 0.267
0.000 0.467 0.441
```

- SG: Pm, No. 6
- Total DFT energy (no corrections): -6.390 eV per atom

Compound: HfPaIn2
Source: Alexandria via LeMat-Bulk
Functional: PBE-GGA
Structure: relaxed

Structure (POSCAR):
```
HfPaIn2
1.0
3.106 0.000 0.000
0.000 3.106 0.000
0.000 0.000 9.590
In Pa Hf
2 1 1
direct
0.000 0.000 0.766
0.000 0.000 0.234
0.500 0.500 0.500
0.500 0.500 0.000
```

- SG: P4/mmm, No. 123
- Excess energy over the best structure of this formula in the dataset: 0.0000 eV per atom

Compound: InP2Se6
Source: Alexandria via LeMat-Bulk
Functional: PBE-GGA
Structure: relaxed

Structure (POSCAR):
```
InP2Se6
1.0
-7.307 0.674 -1.760
-3.461 -7.776 1.331
-4.018 1.945 7.368
Se In P
12 2 4
direct
0.938 0.368 0.373
0.158 0.810 0.980
0.705 0.603 0.037
0.205 0.037 0.603
0.658 0.980 0.810
0.562 0.627 0.632
0.842 0.190 0.020
0.295 0.397 0.963
0.062 0.632 0.627
0.342 0.020 0.190
0.795 0.963 0.397
0.438 0.373 0.368
0.250 0.127 0.873
0.750 0.873 0.127
0.252 0.618 0.799
0.248 0.201 0.382
0.748 0.382 0.201
0.752 0.799 0.618
```

- SG: C2/c, No. 15
- Formation energy from raw total energies: -0.053 eV/atom

Compound: Cd5Re4
Source: Alexandria via LeMat-Bulk
Functional: PBE-GGA
Structure: relaxed

Structure (POSCAR):
```
Cd5Re4
1.0
0.981 -4.095 -6.283
-1.148 1.309 7.361
-7.243 1.390 -1.681
Re Cd
4 5
direct
0.356 0.000 0.356
0.000 0.356 0.356
0.000 0.644 0.644
0.644 0.000 0.644
0.332 0.332 0.665
0.668 0.668 0.335
0.000 0.000 0.000
0.668 0.332 0.000
0.332 0.668 0.000
```

- SG: I4/mmm, No. 139
- Total DFT energy (no corrections): -5.579 eV per atom

- Number 8 is which compound?
  Pm2TmNi